Record 1
DFT (PBE) results for an optimized crystal structure of Mg2TiRh3.

Cell and atoms, written as POSCAR:
```
Mg2TiRh3
1.0
-0.151 2.221 -2.173
-0.130 -2.178 -2.218
-9.320 -0.049 0.596
Mg Ti Rh
2 1 3
Cartesian
-7.957 -0.019 -1.695
-1.644 0.014 -2.099
-4.801 -0.003 -1.897
0.000 0.000 0.000
-3.195 -0.017 0.204
-6.125 -0.032 0.392
```

Offset from the most stable computed form = 0.166 eV/f.u.
Space-group type = P4/mmm
Total magnetic moment = 0.000 μB per cell
D(E_F) = 3.25 states/eV/cell

Record 2
DFT (PBE) results for an optimized crystal structure of MgTiRh4.

Cell and atoms, written as POSCAR:
```
MgTiRh4
1.0
-2.483 0.668 -1.575
0.230 -2.929 -4.490
-5.015 -1.805 4.254
Rh Mg Ti
4 1 1
Cartesian
-1.155 -1.536 -1.716
-2.434 -0.354 0.800
-4.835 -3.712 -2.611
-6.113 -2.530 -0.095
-3.634 -2.033 -0.906
0.000 0.000 0.000
```

Space-group type = C2/m
Total magnetic moment = 0.000 μB per cell
D(E_F) = 8.32 states/eV/cell

Record 3
DFT (PBE) results for an optimized crystal structure of Mg2TiRh.

Cell and atoms, written as POSCAR:
```
Mg2TiRh
1.0
0.000 3.222 3.222
3.222 0.000 3.222
3.222 3.222 0.000
Rh Mg Ti
1 2 1
Cartesian
3.222 3.222 3.222
4.833 4.833 4.833
1.611 1.611 1.611
0.000 0.000 0.000
```

Offset from the most stable computed form = 0.000 eV/f.u.
Space-group type = Fm-3m
Total magnetic moment = 0.000 μB per cell
D(E_F) = 3.17 states/eV/cell

Record 4
DFT (PBE) results for an optimized crystal structure of MgTi2Rh.

Cell and atoms, written as POSCAR:
```
MgTi2Rh
1.0
-2.281 -1.685 2.839
0.910 -3.647 -1.433
3.182 -0.171 2.455
Mg Ti Rh
1 2 1
Cartesian
0.906 -2.751 1.931
1.591 -0.085 1.228
0.455 -1.824 -0.717
-1.140 -0.842 1.419
```

Space-group type = P4/mmm
Total magnetic moment = 0.278 μB per cell
D(E_F) = 5.22 states/eV/cell

Record 5
DFT (PBE) results for an optimized crystal structure of MgTiRh3.

Cell and atoms, written as POSCAR:
```
MgTiRh3
1.0
-2.695 1.510 -3.341
-3.556 -0.068 2.838
0.892 4.292 1.221
Rh Ti Mg
3 1 1
Cartesian
0.446 2.146 0.610
-1.347 0.755 -1.670
-1.778 -0.034 1.419
0.000 0.000 0.000
-2.680 2.867 0.359
```

Offset from the most stable computed form = 0.000 eV/f.u.
Space-group type = Pm-3m
Total magnetic moment = 0.000 μB per cell
D(E_F) = 4.10 states/eV/cell

Record 6
DFT (PBE) results for an optimized crystal structure of Mg3TiRh.

Cell and atoms, written as POSCAR:
```
Mg3TiRh
1.0
4.810 0.000 0.000
0.000 4.810 0.000
0.000 0.000 4.810
Mg Ti Rh
3 1 1
Cartesian
0.000 2.405 0.000
0.000 0.000 2.405
2.405 0.000 0.000
2.405 2.405 2.405
0.000 0.000 0.000
```

Offset from the most stable computed form = 0.000 eV/f.u.
Space-group type = Pm-3m
Total magnetic moment = 0.001 μB per cell
D(E_F) = 6.15 states/eV/cell

Calculated formation energy: -0.698, -0.370, -0.080, -0.230, 0.207, 0.363 (eV per atom)